[1]
This record from Alexandria describes a geometry-optimized LiEuBiSb structure. The functional is GGA-PBE.

Summary:
**VASP energy**: -5.563 eV/atom
**Size of the total moment**: 1.728 μB per atom
**Formation energy without anion corrections**: -0.5154 eV per atom

Cell lengths 5.4207, 5.4207, 5.4207 Å; angles 60.00, 60.00, 60.00 degrees
Element x y z (fractional)
1 Li 0.7500 0.7500 0.7500
2 Bi 0.5000 0.5000 0.5000
3 Sb 0.0000 0.0000 0.0000
4 Eu 0.2500 0.2500 0.2500

[2]
This record from Alexandria describes a geometry-optimized LiTbEuBi structure. The functional is GGA-PBE.

Summary:
**VASP energy**: -5.535 eV/atom
**DFT formation energy**: -360 meV/atom
**Size of the total moment**: 2.025 μB per atom

Cell lengths 5.4516, 5.4516, 5.4516 Å; angles 60.00, 60.00, 60.00 degrees
Element x y z (fractional)
1 Li 0.5000 0.5000 0.5000
2 Tb 0.7500 0.7500 0.7500
3 Bi 0.0000 0.0000 0.0000
4 Eu 0.2500 0.2500 0.2500

[3]
This record from Alexandria describes a geometry-optimized EuMgBi structure. The functional is GGA-PBE.

Summary:
**VASP energy**: -5.602 eV/atom
**DFT formation energy**: -352 meV/atom
**Size of the total moment**: 2.348 μB per atom

Cell lengths 3.9745, 3.9745, 6.4841 Å; angles 107.85, 107.85, 90.00 degrees
Element x y z (fractional)
1 Mg 0.6395 0.6395 0.2790
2 Eu 0.9468 0.9468 0.8937
3 Bi 0.2636 0.2636 0.5273

[4]
This record from Alexandria describes a geometry-optimized Eu2MgBi structure. The functional is GGA-PBE.

Summary:
**Polymorph energy (0 for the lowest one)**: 0.047 eV per atom
**VASP energy**: -6.973 eV/atom
**DFT formation energy**: -467 meV/atom
**Size of the total moment**: 3.740 μB per atom

Cell lengths 5.6674, 5.6674, 5.6674 Å; angles 60.00, 60.00, 60.00 degrees
Element x y z (fractional)
1 Bi 0.0000 0.0000 0.0000
2 Mg 0.5000 0.5000 0.5000
3 Eu 0.7500 0.7500 0.7500
4 Eu 0.2500 0.2500 0.2500

[5]
This record from Alexandria describes a geometry-optimized Eu2MgBi structure. The functional is GGA-PBE.

Summary:
**Polymorph energy (0 for the lowest one)**: 0.000 eV per atom
**VASP energy**: -7.021 eV/atom
**DFT formation energy**: -515 meV/atom
**Size of the total moment**: 3.564 μB per atom

Cell lengths 4.5160, 5.3151, 5.3151 Å; angles 90.00, 90.00, 90.00 degrees
Element x y z (fractional)
1 Bi 0.5000 0.5000 0.5000
2 Mg 0.5000 0.0000 0.0000
3 Eu 0.0000 0.0000 0.5000
4 Eu 0.0000 0.5000 0.0000

[6]
This record from Alexandria describes a geometry-optimized EuMgBi structure. The functional is GGA-PBE.

Summary:
**VASP energy**: -5.717 eV/atom
**DFT formation energy**: -467 meV/atom
**Size of the total moment**: 2.514 μB per atom

Cell lengths 4.5255, 4.9144, 4.9144 Å; angles 120.00, 90.00, 90.00 degrees
Element x y z (fractional)
1 Eu 0.6663 0.6667 0.3333
2 Bi 0.1576 0.0000 0.0000
3 Mg 0.1761 0.3333 0.6667

[7]
This record from Alexandria describes a geometry-optimized NdEuMgBi structure. The functional is GGA-PBE.

Summary:
**VASP energy**: -5.514 eV/atom
**DFT formation energy**: -384 meV/atom
**Size of the total moment**: 1.969 μB per atom

Cell lengths 5.5985, 5.5985, 5.5985 Å; angles 60.00, 60.00, 60.00 degrees
Element x y z (fractional)
1 Mg 0.2500 0.2500 0.2500
2 Bi 0.7500 0.7500 0.7500
3 Eu 0.5000 0.5000 0.5000
4 Nd 0.0000 0.0000 0.0000

[8]
This record from Alexandria describes a geometry-optimized EuMgBiSbO6 structure. The functional is GGA-PBE.

Summary:
**VASP energy**: -6.857 eV/atom
**Size of the total moment**: 0.670 μB per atom
**Formation energy without anion corrections**: -1.8953 eV per atom

Cell lengths 5.6595, 5.6595, 5.6595 Å; angles 60.00, 60.00, 60.00 degrees
Element x y z (fractional)
1 O 0.2530 0.7470 0.7470
2 O 0.2530 0.2530 0.7470
3 O 0.7470 0.2530 0.2530
4 O 0.2530 0.7470 0.2530
5 O 0.7470 0.2530 0.7470
6 O 0.7470 0.7470 0.2530
7 Mg 0.0000 0.0000 0.0000
8 Bi 0.7500 0.7500 0.7500
9 Sb 0.5000 0.5000 0.5000
10 Eu 0.2500 0.2500 0.2500

[9]
This record from Alexandria describes a geometry-optimized EuMgBiPb structure. The functional is GGA-PBE.

Summary:
**VASP energy**: -5.195 eV/atom
**DFT formation energy**: -331 meV/atom
**Size of the total moment**: 1.776 μB per atom

Cell lengths 5.5096, 5.5096, 5.5096 Å; angles 60.00, 60.00, 60.00 degrees
Element x y z (fractional)
1 Pb 0.7500 0.7500 0.7500
2 Eu 0.5000 0.5000 0.5000
3 Bi 0.2500 0.2500 0.2500
4 Mg 0.0000 0.0000 0.0000

[10]
This record from Alexandria describes a geometry-optimized PrEuMgBi structure. The functional is GGA-PBE.

Summary:
**VASP energy**: -5.524 eV/atom
**DFT formation energy**: -392 meV/atom
**Size of the total moment**: 1.963 μB per atom

Cell lengths 5.6177, 5.6177, 5.6177 Å; angles 60.00, 60.00, 60.00 degrees
Element x y z (fractional)
1 Eu 0.7500 0.7500 0.7500
2 Bi 0.0000 0.0000 0.0000
3 Mg 0.5000 0.5000 0.5000
4 Pr 0.2500 0.2500 0.2500

[11]
This record from Alexandria describes a geometry-optimized EuMgTlBi structure. The functional is GGA-PBE.

Summary:
**VASP energy**: -4.879 eV/atom
**DFT formation energy**: -350 meV/atom
**Size of the total moment**: 1.763 μB per atom

Cell lengths 5.4965, 5.4965, 5.4965 Å; angles 60.00, 60.00, 60.00 degrees
Element x y z (fractional)
1 Bi 0.5000 0.5000 0.5000
2 Mg 0.7500 0.7500 0.7500
3 Eu 0.2500 0.2500 0.2500
4 Tl 0.0000 0.0000 0.0000

[12]
This record from Alexandria describes a geometry-optimized EuMgZnBi structure. The functional is GGA-PBE.

Summary:
**VASP energy**: -4.555 eV/atom
**DFT formation energy**: -299 meV/atom
**Size of the total moment**: 1.760 μB per atom

Cell lengths 5.3492, 5.3492, 5.3492 Å; angles 60.00, 60.00, 60.00 degrees
Element x y z (fractional)
1 Bi 0.5000 0.5000 0.5000
2 Eu 0.7500 0.7500 0.7500
3 Mg 0.2500 0.2500 0.2500
4 Zn 0.0000 0.0000 0.0000

[13]
This record from Alexandria describes a geometry-optimized EuMnBi2 structure. The functional is GGA-PBE.

Summary:
**VASP energy**: -7.090 eV/atom
**DFT formation energy**: -288 meV/atom
**Size of the total moment**: 0.761 μB per atom

Cell lengths 10.8975, 10.8975, 10.8975 Å; angles 155.40, 155.40, 35.06 degrees
Element x y z (fractional)
1 Bi 0.3286 0.3286 0.0000
2 Bi 0.0000 0.5000 0.5000
3 Bi 0.6714 0.6714 0.0000
4 Bi 0.5000 0.0000 0.5000
5 Eu 0.8756 0.8756 0.0000
6 Eu 0.1244 0.1244 0.0000
7 Mn 0.7500 0.2500 0.5000
8 Mn 0.2500 0.7500 0.5000

[14]
This record from Alexandria describes a geometry-optimized Eu4Bi2N structure. The functional is GGA-PBE.

Summary:
**VASP energy**: -9.118 eV/atom
**Size of the total moment**: 0.049 μB per atom
**Formation energy without anion corrections**: -0.9492 eV per atom

Cell lengths 4.9775, 4.9775, 9.2147 Å; angles 105.67, 105.67, 90.00 degrees
Element x y z (fractional)
1 Bi 0.3594 0.3594 0.7188
2 Bi 0.6406 0.6406 0.2812
3 Eu 0.5000 0.0000 0.0000
4 Eu 0.8400 0.8400 0.6800
5 Eu 0.0000 0.5000 0.0000
6 Eu 0.1600 0.1600 0.3200
7 N 0.0000 0.0000 0.0000

[15]
This record from Alexandria describes a geometry-optimized NaEuBi2 structure. The functional is GGA-PBE.

Summary:
**Polymorph energy (0 for the lowest one)**: 0.093 eV per atom
**VASP energy**: -5.318 eV/atom
**DFT formation energy**: -479 meV/atom
**Size of the total moment**: 1.750 μB per atom

Cell lengths 5.6298, 5.6298, 5.6298 Å; angles 60.00, 60.00, 60.00 degrees
Element x y z (fractional)
1 Na 0.0000 0.0000 0.0000
2 Bi 0.2500 0.2500 0.2500
3 Bi 0.7500 0.7500 0.7500
4 Eu 0.5000 0.5000 0.5000

[16]
This record from Alexandria describes a geometry-optimized NaEuBi structure. The functional is GGA-PBE.

Summary:
**VASP energy**: -5.644 eV/atom
**DFT formation energy**: -486 meV/atom
**Size of the total moment**: 2.427 μB per atom

Cell lengths 4.1507, 5.2412, 5.2412 Å; angles 120.00, 90.00, 90.00 degrees
Element x y z (fractional)
1 Na 0.8672 0.0000 0.0000
2 Bi 0.7912 0.6667 0.3333
3 Eu 0.3416 0.3333 0.6667

[17]
This record from Alexandria describes a geometry-optimized NaEuBi structure. The functional is GGA-PBE.

Summary:
**VASP energy**: -5.620 eV/atom
**DFT formation energy**: -461 meV/atom
**Size of the total moment**: 2.328 μB per atom

Cell lengths 4.5198, 4.5198, 5.8208 Å; angles 112.85, 112.85, 90.00 degrees
Element x y z (fractional)
1 Eu 0.2947 0.2947 0.5893
2 Na 0.6134 0.6134 0.2268
3 Bi 0.9420 0.9420 0.8839

[18]
This record from Alexandria describes a geometry-optimized NaEu2Bi structure. The functional is GGA-PBE.

Summary:
**Polymorph energy (0 for the lowest one)**: 0.000 eV per atom
**VASP energy**: -6.902 eV/atom
**DFT formation energy**: -465 meV/atom
**Size of the total moment**: 3.601 μB per atom

Cell lengths 4.6530, 5.3739, 5.3739 Å; angles 90.00, 90.00, 90.00 degrees
Element x y z (fractional)
1 Bi 0.5000 0.5000 0.5000
2 Na 0.5000 0.0000 0.0000
3 Eu 0.0000 0.0000 0.5000
4 Eu 0.0000 0.5000 0.0000

[19]
This record from Alexandria describes a geometry-optimized NaEuBi4 structure. The functional is GGA-PBE.

Summary:
**VASP energy**: -4.753 eV/atom
**DFT formation energy**: -233 meV/atom
**Size of the total moment**: 1.191 μB per atom

Cell lengths 6.6732, 6.6732, 6.6732 Å; angles 60.00, 60.00, 60.00 degrees
Element x y z (fractional)
1 Na 0.2500 0.2500 0.2500
2 Eu 0.0000 0.0000 0.0000
3 Bi 0.6247 0.6247 0.6247
4 Bi 0.1258 0.6247 0.6247
5 Bi 0.6247 0.1258 0.6247
6 Bi 0.6247 0.6247 0.1258

[20]
This record from Alexandria describes a geometry-optimized NaEuBi structure. The functional is GGA-PBE.

Summary:
**VASP energy**: -5.780 eV/atom
**DFT formation energy**: -622 meV/atom
**Size of the total moment**: 2.331 μB per atom

Cell lengths 5.4473, 5.4473, 5.4473 Å; angles 60.00, 60.00, 60.00 degrees
Element x y z (fractional)
1 Eu 0.0000 0.0000 0.0000
2 Na 0.5000 0.5000 0.5000
3 Bi 0.2500 0.2500 0.2500